K2HgWO4: relaxed, PBE+U.

## Properties
The calculation puts the calculated density at 4.462 Mg/m³. As for the space group: No. 121. The total energy is -43.50 eV/cell.

Cell lengths 6.5046, 6.5046, 6.5046 Å; angles 90.83, 119.52, 119.52 degrees
Last column: nearest neighbours and their distance in Å.
Sites, in units of the cell vectors:
Hg  0.0000  0.0000  0.0000  4 O 3.32
K  0.5000  0.7500  0.2500  4 O 2.75
O  0.3210  0.7757  0.7757  1 W 1.82
O  0.0000  0.5453  0.2243  1 W 1.82
W  0.0000  0.5000  0.5000  4 O 1.82
O  0.0000  0.2243  0.5453  1 W 1.82
O  0.6790  0.4547  0.4547  1 W 1.82
K  0.5000  0.2500  0.7500  4 O 2.75